A geometry-optimized La3Tb6Dy2Y structure, computed with PBE.

Cell lengths 6.248, 10.828, 11.935 Å; angles 90.00, 100.06, 90.00 degrees
Space group C2/m (No. 12)
Symmetry-distinct sites (fractional):
La 0.000 0.000 0.000 (multiplicity 2)
La 0.000 0.333 0.000 (multiplicity 4)
Tb 0.247 0.000 0.745 (multiplicity 4)
Tb 0.248 0.333 0.745 (multiplicity 8)
Dy 0.000 0.167 0.500 (multiplicity 4)
Y 0.000 0.500 0.500 (multiplicity 2)

DFT formation energy, eV/atom: 0.021
Calculated total energy, eV for the cell shown: -116.0
Crystal system: monoclinic

=====

A geometry-optimized La2Tb6DyY3 structure, computed with PBE.

Cell lengths 6.228, 10.787, 11.910 Å; angles 90.00, 100.02, 90.00 degrees
Space group C2/m (No. 12)
Symmetry-distinct sites (fractional):
La 0.000 0.166 0.000 (multiplicity 4)
Tb 0.247 0.500 0.747 (multiplicity 4)
Tb 0.249 0.166 0.747 (multiplicity 8)
Dy 0.000 0.500 0.000 (multiplicity 2)
Y 0.000 0.000 0.500 (multiplicity 2)
Y 0.000 0.334 0.500 (multiplicity 4)

DFT formation energy, eV/atom: 0.021
Calculated total energy, eV for the cell shown: -122.8
Crystal system: monoclinic

=====

A geometry-optimized La4Tb2DyY2 structure, computed with PBE.

Cell lengths 18.928, 3.653, 8.920 Å; angles 90.00, 90.12, 90.00 degrees
Space group C2/m (No. 12)
Symmetry-distinct sites (fractional):
La 0.055 0.000 0.172 (multiplicity 4)
La 0.223 0.500 0.170 (multiplicity 4)
Tb 0.111 0.500 0.831 (multiplicity 4)
Dy 0.000 0.500 0.500 (multiplicity 2)
Y 0.165 0.000 0.503 (multiplicity 4)

DFT formation energy, eV/atom: 0.026
Calculated total energy, eV for the cell shown: -92.5
Crystal system: monoclinic

=====

A geometry-optimized LaTbDy2Y structure, computed with PBE.

Cell lengths 8.420, 11.570, 7.245 Å; angles 90.00, 90.00, 90.00 degrees
Space group Cmcm (No. 63)
Symmetry-distinct sites (fractional):
La 0.000 0.227 0.250 (multiplicity 4)
Tb 0.000 0.491 0.250 (multiplicity 4)
Dy 0.190 0.000 0.000 (multiplicity 8)
Y 0.000 0.227 0.750 (multiplicity 4)

DFT formation energy, eV/atom: 0.358
Calculated total energy, eV for the cell shown: -93.8
Crystal system: orthorhombic

=====

A geometry-optimized LaTbDyY structure, computed with PBE.

Cell lengths 12.510, 5.917, 3.791 Å; angles 90.00, 107.48, 90.00 degrees
Space group Cm (No. 8)
Symmetry-distinct sites (fractional):
La 0.000 0.000 0.000 (multiplicity 2)
Tb 0.241 0.500 0.203 (multiplicity 2)
Dy 0.001 0.500 0.480 (multiplicity 2)
Y 0.260 0.000 0.723 (multiplicity 2)

DFT formation energy, eV/atom: 0.114
Calculated total energy, eV for the cell shown: -40.3
Energy above the most stable polymorph in this dataset, meV/atom: 0
Crystal system: monoclinic

=====

A geometry-optimized La4TbDy2Y2 structure, computed with PBE.

Cell lengths 18.906, 3.654, 8.909 Å; angles 90.00, 90.17, 90.00 degrees
Space group C2/m (No. 12)
Symmetry-distinct sites (fractional):
La 0.055 0.000 0.172 (multiplicity 4)
La 0.224 0.500 0.170 (multiplicity 4)
Tb 0.000 0.500 0.500 (multiplicity 2)
Dy 0.110 0.500 0.831 (multiplicity 4)
Y 0.166 0.000 0.503 (multiplicity 4)

DFT formation energy, eV/atom: 0.026
Calculated total energy, eV for the cell shown: -92.5
Crystal system: monoclinic

=====

A geometry-optimized La5Tb2DyY structure, computed with PBE.

Cell lengths 5.528, 21.902, 10.597 Å; angles 90.00, 90.00, 90.00 degrees
Space group Cmc2_1 (No. 36)
Symmetry-distinct sites (fractional):
La 0.000 0.000 0.000 (multiplicity 4)
La 0.000 0.123 0.250 (multiplicity 4)
La 0.000 0.221 0.560 (multiplicity 4)
La 0.000 0.221 0.941 (multiplicity 4)
La 0.000 0.499 0.250 (multiplicity 4)
Tb 0.000 0.386 0.997 (multiplicity 4)
Tb 0.000 0.387 0.503 (multiplicity 4)
Dy 0.000 0.290 0.251 (multiplicity 4)
Y 0.000 0.101 0.750 (multiplicity 4)

DFT formation energy, eV/atom: 0.125
Calculated total energy, eV for the cell shown: -175.3
Crystal system: orthorhombic

=====

A geometry-optimized LaTbDyY3 structure, computed with PBE.

Cell lengths 5.081, 15.293, 10.172 Å; angles 90.00, 90.00, 90.00 degrees
Space group Cmcm (No. 63)
Symmetry-distinct sites (fractional):
La 0.000 0.001 0.250 (multiplicity 4)
Tb 0.000 0.500 0.000 (multiplicity 4)
Dy 0.000 0.332 0.750 (multiplicity 4)
Y 0.000 0.167 0.000 (multiplicity 8)
Y 0.000 0.331 0.250 (multiplicity 4)

DFT formation energy, eV/atom: 0.029
Calculated total energy, eV for the cell shown: -133.5
Crystal system: orthorhombic

=====

A geometry-optimized La2Tb5DyY structure, computed with PBE.

Cell lengths 5.673, 20.038, 10.735 Å; angles 90.00, 90.00, 90.00 degrees
Space group Cmc2_1 (No. 36)
Symmetry-distinct sites (fractional):
La 0.000 0.113 0.000 (multiplicity 4)
La 0.000 0.116 0.585 (multiplicity 4)
Tb 0.000 0.016 0.290 (multiplicity 4)
Tb 0.000 0.280 0.575 (multiplicity 4)
Tb 0.000 0.299 0.974 (multiplicity 4)
Tb 0.000 0.388 0.289 (multiplicity 4)
Tb 0.000 0.480 0.007 (multiplicity 4)
Dy 0.000 0.201 0.278 (multiplicity 4)
Y 0.000 0.412 0.728 (multiplicity 4)

DFT formation energy, eV/atom: 0.140
Calculated total energy, eV for the cell shown: -171.3
Crystal system: orthorhombic

=====

A geometry-optimized La2Tb2Dy4Y structure, computed with PBE.

Cell lengths 18.815, 3.628, 9.630 Å; angles 90.00, 115.74, 90.00 degrees
Space group C2/m (No. 12)
Symmetry-distinct sites (fractional):
La 0.166 0.000 0.499 (multiplicity 4)
Tb 0.147 0.500 0.163 (multiplicity 4)
Dy 0.020 0.000 0.837 (multiplicity 4)
Dy 0.186 0.500 0.838 (multiplicity 4)
Y 0.000 0.500 0.500 (multiplicity 2)

DFT formation energy, eV/atom: 0.001
Calculated total energy, eV for the cell shown: -88.0
Crystal system: monoclinic

=====

A geometry-optimized LaTbDyY structure, computed with PBE.

Cell lengths 8.137, 8.137, 8.137 Å; angles 90.00, 90.00, 90.00 degrees
Space group F-43m (No. 216)
Symmetry-distinct sites (fractional):
La 0.000 0.000 0.000 (multiplicity 4)
Tb 0.000 0.000 0.500 (multiplicity 4)
Dy 0.250 0.250 0.750 (multiplicity 4)
Y 0.250 0.250 0.250 (multiplicity 4)

DFT formation energy, eV/atom: 0.115
Calculated total energy, eV for the cell shown: -80.7
Energy above the most stable polymorph in this dataset, meV/atom: 1
Crystal system: cubic

=====

A geometry-optimized La2TbDyY6 structure, computed with PBE.

Cell lengths 9.097, 14.981, 9.988 Å; angles 90.00, 101.29, 90.00 degrees
Space group C2/c (No. 15)
Symmetry-distinct sites (fractional):
La 0.239 0.047 0.045 (multiplicity 8)
Tb 0.000 0.013 0.750 (multiplicity 4)
Dy 0.000 0.403 0.250 (multiplicity 4)
Y 0.072 0.191 0.443 (multiplicity 8)
Y 0.097 0.397 0.617 (multiplicity 8)
Y 0.199 0.220 0.812 (multiplicity 8)

DFT formation energy, eV/atom: 0.116
Calculated total energy, eV for the cell shown: -226.8
Crystal system: monoclinic

=====

A geometry-optimized LaTbDy5Y2 structure, computed with PBE.

Cell lengths 5.645, 19.821, 10.598 Å; angles 90.00, 90.00, 90.00 degrees
Space group Cmc2_1 (No. 36)
Symmetry-distinct sites (fractional):
La 0.000 0.081 0.000 (multiplicity 4)
Tb 0.000 0.298 0.560 (multiplicity 4)
Dy 0.000 0.021 0.285 (multiplicity 4)
Dy 0.000 0.112 0.571 (multiplicity 4)
Dy 0.000 0.203 0.256 (multiplicity 4)
Dy 0.000 0.218 0.860 (multiplicity 4)
Dy 0.000 0.482 0.574 (multiplicity 4)
Y 0.000 0.386 0.868 (multiplicity 4)
Y 0.000 0.389 0.281 (multiplicity 4)

DFT formation energy, eV/atom: 0.160
Calculated total energy, eV for the cell shown: -176.2
Crystal system: orthorhombic

=====

A geometry-optimized La2Tb4DyY2 structure, computed with PBE.

Cell lengths 18.853, 3.635, 9.647 Å; angles 90.00, 115.71, 90.00 degrees
Space group C2/m (No. 12)
Symmetry-distinct sites (fractional):
La 0.165 0.000 0.000 (multiplicity 4)
Tb 0.020 0.000 0.335 (multiplicity 4)
Tb 0.185 0.500 0.337 (multiplicity 4)
Dy 0.000 0.500 0.000 (multiplicity 2)
Y 0.147 0.500 0.662 (multiplicity 4)

DFT formation energy, eV/atom: 0.000
Calculated total energy, eV for the cell shown: -91.8
Crystal system: monoclinic

=====

A geometry-optimized La2TbDyY structure, computed with PBE.

Cell lengths 6.905, 9.487, 11.140 Å; angles 90.00, 90.00, 90.00 degrees
Space group Cmcm (No. 63)
Symmetry-distinct sites (fractional):
La 0.250 0.000 0.000 (multiplicity 8)
Tb 0.000 0.092 0.250 (multiplicity 4)
Dy 0.000 0.407 0.250 (multiplicity 4)
Y 0.000 0.251 0.750 (multiplicity 4)

DFT formation energy, eV/atom: 0.333
Calculated total energy, eV for the cell shown: -95.5
Crystal system: orthorhombic

=====

A geometry-optimized La3DyTc structure, computed with PBE.

Cell lengths 12.439, 3.974, 13.710 Å; angles 90.00, 112.89, 90.00 degrees
Space group Cm (No. 8)
Symmetry-distinct sites (fractional):
La 0.000 0.000 0.000 (multiplicity 2)
La 0.004 0.000 0.626 (multiplicity 2)
La 0.183 0.500 0.860 (multiplicity 2)
La 0.281 0.500 0.137 (multiplicity 2)
La 0.328 0.000 0.384 (multiplicity 2)
La 0.348 0.000 0.749 (multiplicity 2)
Dy 0.038 0.500 0.249 (multiplicity 2)
Dy 0.161 0.500 0.511 (multiplicity 2)
Tc 0.348 0.000 0.014 (multiplicity 2)
Tc 0.491 0.500 0.389 (multiplicity 2)

DFT formation energy, eV/atom: -0.014
Calculated total energy, eV for the cell shown: -119.3
Energy above the most stable polymorph in this dataset, meV/atom: 0
Crystal system: monoclinic

=====

A geometry-optimized La3DyTc structure, computed with PBE.

Cell lengths 5.549, 5.549, 5.549 Å; angles 90.00, 90.00, 90.00 degrees
Space group Pm-3m (No. 221)
Symmetry-distinct sites (fractional):
La 0.000 0.000 0.500 (multiplicity 3)
Dy 0.500 0.500 0.500 (multiplicity 1)
Tc 0.000 0.000 0.000 (multiplicity 1)

DFT formation energy, eV/atom: 0.103
Calculated total energy, eV for the cell shown: -29.2
Energy above the most stable polymorph in this dataset, meV/atom: 117
Crystal system: cubic

=====

A geometry-optimized LaDy4Tc structure, computed with PBE.

Cell lengths 8.859, 3.780, 20.700 Å; angles 90.00, 90.00, 90.00 degrees
Space group Pnma (No. 62)
Symmetry-distinct sites (fractional):
La 0.227 0.250 0.188 (multiplicity 4)
Dy 0.007 0.750 0.566 (multiplicity 4)
Dy 0.042 0.750 0.295 (multiplicity 4)
Dy 0.135 0.750 0.042 (multiplicity 4)
Dy 0.149 0.750 0.861 (multiplicity 4)
Tc 0.239 0.750 0.454 (multiplicity 4)

DFT formation energy, eV/atom: 0.001
Calculated total energy, eV for the cell shown: -134.8
Crystal system: orthorhombic

=====

A geometry-optimized LaDyZnTc structure, computed with PBE.

Cell lengths 7.137, 7.137, 7.137 Å; angles 90.00, 90.00, 90.00 degrees
Space group F-43m (No. 216)
Symmetry-distinct sites (fractional):
La 0.000 0.000 0.000 (multiplicity 4)
Dy 0.000 0.000 0.500 (multiplicity 4)
Zn 0.250 0.250 0.250 (multiplicity 4)
Tc 0.250 0.250 0.750 (multiplicity 4)

DFT formation energy, eV/atom: -0.071
Calculated total energy, eV for the cell shown: -85.8
Crystal system: cubic

=====

A geometry-optimized La2Dy3Te8 structure, computed with PBE.

Cell lengths 15.727, 8.848, 7.603 Å; angles 90.00, 108.63, 90.00 degrees
Space group C2/m (No. 12)
Symmetry-distinct sites (fractional):
La 0.247 0.000 0.168 (multiplicity 4)
Dy 0.000 0.242 0.500 (multiplicity 4)
Dy 0.000 0.500 0.000 (multiplicity 2)
Te 0.116 0.500 0.413 (multiplicity 4)
Te 0.117 0.255 0.910 (multiplicity 8)
Te 0.119 0.000 0.420 (multiplicity 4)

Calculated total energy, eV for the cell shown: -132.4
Formation energy without anion corrections, eV/atom: -1.3394
Crystal system: monoclinic